No. 1
# Pr8Ru2Pt, optimized geometry, DFT PBE
# Final energy in eV/atom: -5.942
# Magnetization in μB per formula unit: 0.0
data_Pr8Ru2Pt
_chemical_formula_sum 'Pr16 Ru4 Pt2'
_cell_length_a 8.4560
_cell_length_b 13.0816
_cell_length_c 6.4593
_cell_angle_alpha 90.00
_cell_angle_beta 110.52
_cell_angle_gamma 90.00
_symmetry_space_group_name_H-M 'C 1 m 1'
_symmetry_Int_Tables_number 8
loop_
_symmetry_equiv_pos_as_xyz
'x,y,z'
'x,-y,z'
'x+1/2,y+1/2,z'
'x+1/2,-y+1/2,z'
loop_
_atom_site_label
_atom_site_type_symbol
_atom_site_fract_x
_atom_site_fract_y
_atom_site_fract_z
Pr1 Pr 0.0000 0.0000 0.0000
Pr2 Pr 0.0721 0.3664 0.7988
Pr3 Pr 0.1403 0.1331 0.5837
Pr4 Pr 0.2146 0.5000 0.3886
Pr5 Pr 0.3534 0.2087 0.1960
Ru1 Ru 0.3582 0.3104 0.6926
Pt1 Pt 0.3588 0.0000 0.3841



No. 2
# Pr6Ru2Pt, optimized geometry, DFT PBE
# Final energy in eV/atom: -6.257
# Magnetization in μB per formula unit: 0.0
data_Pr6Ru2Pt
_chemical_formula_sum 'Pr24 Ru8 Pt4'
_cell_length_a 9.8292
_cell_length_b 9.8518
_cell_length_c 10.2780
_cell_angle_alpha 90.00
_cell_angle_beta 90.00
_cell_angle_gamma 90.00
_symmetry_space_group_name_H-M 'I m m m'
_symmetry_Int_Tables_number 71
_symmetry_space_group_name_Hall '-I 2 2'
loop_
_atom_site_label
_atom_site_type_symbol
_atom_site_fract_x
_atom_site_fract_y
_atom_site_fract_z
Pr1 Pr 0.0000 0.1849 0.1710
Pr2 Pr 0.1779 0.2303 0.5000
Pr3 Pr 0.1864 0.5000 0.2500
Ru1 Ru 0.0000 0.0000 0.3791
Ru2 Ru 0.1760 0.0000 0.0000
Pt1 Pt 0.0000 0.5000 0.0000
Pt2 Pt 0.0000 0.5000 0.5000



No. 3
# Pr3RuPt, optimized geometry, DFT PBE
# Final energy in eV/atom: -6.464
# Polymorph energy (0 for the lowest one) in meV per atom: 0
# Magnetization in μB per formula unit: 0.0
data_Pr3RuPt
_chemical_formula_sum 'Pr12 Ru4 Pt4'
_cell_length_a 8.9246
_cell_length_b 7.4954
_cell_length_c 8.5937
_cell_angle_alpha 90.00
_cell_angle_beta 107.21
_cell_angle_gamma 90.00
_symmetry_space_group_name_H-M 'P 1 21/c 1'
_symmetry_Int_Tables_number 14
loop_
_symmetry_equiv_pos_as_xyz
'x,y,z'
'-x,-y,-z'
'-x,y+1/2,-z+1/2'
'x,-y+1/2,z+1/2'
loop_
_atom_site_label
_atom_site_type_symbol
_atom_site_fract_x
_atom_site_fract_y
_atom_site_fract_z
Pr1 Pr 0.0437 0.0085 0.2147
Pr2 Pr 0.2823 0.6573 0.1044
Pr3 Pr 0.3521 0.1897 0.0056
Ru1 Ru 0.0581 0.1834 0.5225
Pt1 Pt 0.4045 0.5325 0.8184



No. 4
# Pr3RuPt, optimized geometry, DFT PBE
# Final energy in eV/atom: -6.430
# Polymorph energy (0 for the lowest one) in meV per atom: 34
# Magnetization in μB per formula unit: 0.0
data_Pr3RuPt
_chemical_formula_sum 'Pr6 Ru2 Pt2'
_cell_length_a 8.0009
_cell_length_b 4.0746
_cell_length_c 8.6165
_cell_angle_alpha 90.00
_cell_angle_beta 106.11
_cell_angle_gamma 90.00
_symmetry_space_group_name_H-M 'P 1 21/m 1'
_symmetry_Int_Tables_number 11
loop_
_symmetry_equiv_pos_as_xyz
'x,y,z'
'-x,-y,-z'
'-x,y+1/2,-z'
'x,-y+1/2,z'
loop_
_atom_site_label
_atom_site_type_symbol
_atom_site_fract_x
_atom_site_fract_y
_atom_site_fract_z
Pr1 Pr 0.0833 0.2500 0.2389
Pr2 Pr 0.3147 0.2500 0.9324
Pr3 Pr 0.3547 0.7500 0.5963
Ru1 Ru 0.0684 0.2500 0.5956
Pt1 Pt 0.3654 0.7500 0.2095